The following is a PBE-GGA calculation of a geometry-optimized Na3MgIn3I8 structure, from Alexandria.

## Properties
total magnetization: 0.00 μB per cell
DFT total energy: -2.624 eV/atom
N(E_F): 0.00 states/eV per cell
E_form (uncorrected): -0.880 eV per atom

a = 9.3212 Å, b = 9.3212 Å, c = 24.3567 Å
α = 90.00°, β = 90.00°, γ = 120.00°
Space group R-3m (No. 166, hexagonal axes)
Inequivalent atoms, fractional coordinates:
Na  0.0000  0.5000  0.0000
Mg  0.0000  0.0000  0.0000
In  0.0000  0.5000  0.5000
I  0.0000  0.0000  0.2585
I  0.0279  0.5140  0.7360